! Rb3InAs PBE relaxed; values from VASP
&SYSTEM
  ibrav = 0, nat = 5, ntyp = 3
/
ATOMIC_SPECIES
As 74.92 As.upf
Rb 85.47 Rb.upf
In 114.82 In.upf
CELL_PARAMETERS angstrom
-5.153 4.147 -1.140
-2.700 -1.734 5.895
3.348 4.984 2.999
ATOMIC_POSITIONS crystal
As 0.000 0.000 0.000
Rb 0.500 0.000 0.000
Rb 0.000 0.000 0.500
Rb 0.000 0.500 0.000
In 0.500 0.500 0.500
! DOS(E_F) in states/eV/cell: 7.0
! Relative energy among the computed polymorphs in eV per formula unit: 1.56
! Magnetic moment in μB/f.u.: 1.56
! Energy of formation from the pure elements in meV/atom: 129
! Density in g/cm³: 2.45
! Final energy in eV per atom: -1.929

=====

! RbInAs PBE relaxed; values from VASP
&SYSTEM
  ibrav = 0, nat = 6, ntyp = 3
/
ATOMIC_SPECIES
In 114.82 In.upf
Rb 85.47 Rb.upf
As 74.92 As.upf
CELL_PARAMETERS angstrom
4.241 0.000 -0.744
0.000 5.391 0.000
-0.462 0.000 9.622
ATOMIC_POSITIONS crystal
In 0.544 0.250 0.085
In 0.456 0.750 0.915
Rb 0.676 0.750 0.356
Rb 0.324 0.250 0.644
As 0.125 0.250 0.251
As 0.875 0.750 0.749
! DOS(E_F) in states/eV/cell: 3.0
! Magnetic moment in μB/f.u.: 0.00
! Energy of formation from the pure elements in meV/atom: -227
! Density in g/cm³: 4.19
! Final energy in eV per atom: -3.012

=====

! Rb2In2As PBE relaxed; values from VASP
&SYSTEM
  ibrav = 0, nat = 10, ntyp = 3
/
ATOMIC_SPECIES
As 74.92 As.upf
Rb 85.47 Rb.upf
In 114.82 In.upf
CELL_PARAMETERS angstrom
-5.567 5.258 -0.644
-2.495 -1.779 7.047
3.723 4.235 2.388
ATOMIC_POSITIONS crystal
As 0.500 0.500 0.000
As 0.000 0.000 0.000
Rb 0.187 0.687 0.500
Rb 0.813 0.313 0.500
Rb 0.313 0.187 0.500
Rb 0.687 0.813 0.500
In 0.635 0.135 0.000
In 0.135 0.365 0.000
In 0.865 0.635 0.000
In 0.365 0.865 0.000
! DOS(E_F) in states/eV/cell: 6.6
! Relative energy among the computed polymorphs in eV per formula unit: 0.50
! Magnetic moment in μB/f.u.: 0.00
! Energy of formation from the pure elements in meV/atom: -79
! Density in g/cm³: 4.37
! Final energy in eV per atom: -2.491

=====

! Rb3In2As2 PBE relaxed; values from VASP
&SYSTEM
  ibrav = 0, nat = 7, ntyp = 3
/
ATOMIC_SPECIES
As 74.92 As.upf
Rb 85.47 Rb.upf
In 114.82 In.upf
CELL_PARAMETERS angstrom
5.643 0.000 -0.966
-0.171 4.276 -0.997
-1.005 0.287 11.089
ATOMIC_POSITIONS crystal
As 0.639 0.139 0.278
As 0.361 0.861 0.722
Rb 0.000 0.000 0.000
Rb 0.188 0.688 0.376
Rb 0.812 0.312 0.624
In 0.433 0.433 0.867
In 0.567 0.567 0.133
! DOS(E_F) in states/eV/cell: 3.3
! Magnetic moment in μB/f.u.: 0.00
! Energy of formation from the pure elements in meV/atom: -346
! Density in g/cm³: 3.98
! Final energy in eV per atom: -2.872

=====

! Rb2InAs2 PBE relaxed; values from VASP
&SYSTEM
  ibrav = 0, nat = 10, ntyp = 3
/
ATOMIC_SPECIES
As 74.92 As.upf
Rb 85.47 Rb.upf
In 114.82 In.upf
CELL_PARAMETERS angstrom
7.678 0.000 0.000
0.000 7.678 0.000
0.000 0.000 5.666
ATOMIC_POSITIONS crystal
As 0.613 0.113 0.000
As 0.387 0.887 0.000
As 0.113 0.387 0.000
As 0.887 0.613 0.000
Rb 0.822 0.322 0.500
Rb 0.678 0.822 0.500
Rb 0.322 0.178 0.500
Rb 0.178 0.678 0.500
In 0.000 0.000 0.000
In 0.500 0.500 0.000
! DOS(E_F) in states/eV/cell: 5.4
! Magnetic moment in μB/f.u.: 0.00
! Energy of formation from the pure elements in meV/atom: -251
! Density in g/cm³: 4.33
! Final energy in eV per atom: -3.046

=====

! Rb5In4As4 PBE relaxed; values from VASP
&SYSTEM
  ibrav = 0, nat = 13, ntyp = 3
/
ATOMIC_SPECIES
As 74.92 As.upf
Rb 85.47 Rb.upf
In 114.82 In.upf
CELL_PARAMETERS angstrom
4.631 0.000 1.177
2.315 9.641 0.589
-0.060 0.000 9.933
ATOMIC_POSITIONS crystal
As 0.723 0.321 0.233
As 0.956 0.767 0.321
As 0.044 0.233 0.679
As 0.277 0.679 0.767
Rb 0.294 0.065 0.346
Rb 0.641 0.654 0.065
Rb 0.706 0.935 0.654
Rb 0.000 0.000 0.000
Rb 0.359 0.346 0.935
In 0.433 0.663 0.470
In 0.097 0.470 0.337
In 0.903 0.530 0.663
In 0.567 0.337 0.530
! DOS(E_F) in states/eV/cell: 3.1
! Magnetic moment in μB/f.u.: 0.00
! Energy of formation from the pure elements in meV/atom: -252
! Density in g/cm³: 4.44
! Final energy in eV per atom: -2.897

=====

! RbIn3As3 PBE relaxed; values from VASP
&SYSTEM
  ibrav = 0, nat = 14, ntyp = 3
/
ATOMIC_SPECIES
As 74.92 As.upf
Rb 85.47 Rb.upf
In 114.82 In.upf
CELL_PARAMETERS angstrom
-2.860 1.287 -7.064
-2.774 -7.211 -0.191
-6.623 2.465 3.130
ATOMIC_POSITIONS crystal
As 0.000 0.500 0.250
As 0.250 0.000 0.500
As 0.000 0.500 0.750
As 0.500 0.250 0.000
As 0.500 0.750 0.000
As 0.750 0.000 0.500
Rb 0.000 0.000 0.000
Rb 0.500 0.500 0.500
In 0.000 0.750 0.500
In 0.500 0.000 0.250
In 0.250 0.500 0.000
In 0.000 0.250 0.500
In 0.750 0.500 0.000
In 0.500 0.000 0.750
! DOS(E_F) in states/eV/cell: 5.1
! Relative energy among the computed polymorphs in eV per formula unit: 0.10
! Magnetic moment in μB/f.u.: 0.00
! Energy of formation from the pure elements in meV/atom: -228
! Density in g/cm³: 4.71
! Final energy in eV per atom: -3.533

=====

! RbIn2As PBE relaxed; values from VASP
&SYSTEM
  ibrav = 0, nat = 4, ntyp = 3
/
ATOMIC_SPECIES
In 114.82 In.upf
Rb 85.47 Rb.upf
As 74.92 As.upf
CELL_PARAMETERS angstrom
3.785 0.000 0.000
0.000 3.785 0.000
0.000 0.000 8.588
ATOMIC_POSITIONS crystal
In 0.000 0.000 0.181
In 0.000 0.000 0.819
Rb 0.500 0.500 0.500
As 0.500 0.500 0.000
! DOS(E_F) in states/eV/cell: 1.0
! Magnetic moment in μB/f.u.: 0.00
! Energy of formation from the pure elements in meV/atom: -98
! Density in g/cm³: 5.26
! Final energy in eV per atom: -2.872

=====

! Rb3In2As3 PBE relaxed; values from VASP
&SYSTEM
  ibrav = 0, nat = 16, ntyp = 3
/
ATOMIC_SPECIES
As 74.92 As.upf
In 114.82 In.upf
Rb 85.47 Rb.upf
CELL_PARAMETERS angstrom
4.582 0.000 0.000
-2.291 7.467 0.000
0.000 0.000 15.720
ATOMIC_POSITIONS crystal
As 0.643 0.286 0.456
As 0.325 0.649 0.250
As 0.643 0.286 0.044
As 0.675 0.351 0.750
As 0.357 0.714 0.956
As 0.357 0.714 0.544
In 0.759 0.519 0.592
In 0.241 0.481 0.408
In 0.759 0.519 0.908
In 0.241 0.481 0.092
Rb 0.352 0.703 0.750
Rb 0.939 0.879 0.112
Rb 0.648 0.297 0.250
Rb 0.061 0.121 0.612
Rb 0.939 0.879 0.388
Rb 0.061 0.121 0.888
! DOS(E_F) in states/eV/cell: 1.5
! Magnetic moment in μB/f.u.: 0.00
! Energy of formation from the pure elements in meV/atom: -387
! Density in g/cm³: 4.39
! Final energy in eV per atom: -3.178

=====

! Rb2In2As PBE relaxed; values from VASP
&SYSTEM
  ibrav = 0, nat = 10, ntyp = 3
/
ATOMIC_SPECIES
In 114.82 In.upf
Rb 85.47 Rb.upf
As 74.92 As.upf
CELL_PARAMETERS angstrom
-2.331 3.090 6.772
4.730 -5.788 -0.223
4.340 6.533 -1.488
ATOMIC_POSITIONS crystal
In 0.045 0.832 0.555
In 0.213 0.168 0.945
In 0.955 0.168 0.445
In 0.787 0.832 0.055
Rb 0.403 0.662 0.368
Rb 0.259 0.662 0.868
Rb 0.741 0.338 0.132
Rb 0.597 0.338 0.632
As 0.184 0.000 0.250
As 0.816 0.000 0.750
! DOS(E_F) in states/eV/cell: 7.2
! Relative energy among the computed polymorphs in eV per formula unit: 0.00
! Magnetic moment in μB/f.u.: 0.00
! Energy of formation from the pure elements in meV/atom: -179
! Density in g/cm³: 4.21
! Final energy in eV per atom: -2.591

=====

! RbInAs PBE relaxed; values from VASP
&SYSTEM
  ibrav = 0, nat = 3, ntyp = 3
/
ATOMIC_SPECIES
In 114.82 In.upf
Rb 85.47 Rb.upf
As 74.92 As.upf
CELL_PARAMETERS angstrom
6.119 0.000 0.000
0.000 4.482 0.000
0.000 -2.241 3.881
ATOMIC_POSITIONS crystal
In 0.233 0.333 0.667
Rb 0.684 0.667 0.333
As 0.083 0.000 0.000
! DOS(E_F) in states/eV/cell: 2.6
! Magnetic moment in μB/f.u.: 0.00
! Energy of formation from the pure elements in meV/atom: -248
! Density in g/cm³: 4.29
! Final energy in eV per atom: -3.033

=====

! RbInAs PBE relaxed; values from VASP
&SYSTEM
  ibrav = 0, nat = 3, ntyp = 3
/
ATOMIC_SPECIES
In 114.82 In.upf
As 74.92 As.upf
Rb 85.47 Rb.upf
CELL_PARAMETERS angstrom
-2.917 0.911 -2.492
0.530 -3.429 -1.874
-2.974 -1.500 6.053
ATOMIC_POSITIONS crystal
In 0.282 0.282 0.565
As 0.714 0.714 0.428
Rb 0.003 0.003 0.007
! DOS(E_F) in states/eV/cell: 2.3
! Magnetic moment in μB/f.u.: 0.00
! Energy of formation from the pure elements in meV/atom: -140
! Density in g/cm³: 4.65
! Final energy in eV per atom: -2.926